(1)
Below is crystalline SmGe2Pd7 at its relaxed geometry, with properties calculated at the PBE-GGA level.

Lattice parameters (Å, degrees): 4.114 4.114 20.561 90.00 90.00 90.00
Space group I4/mmm (No. 139)
One atom of each set of equivalent atoms:
Sm: 0.000 0.000 0.000 (multiplicity 2)
Ge: 0.000 0.000 0.325 (multiplicity 4)
Pd: 0.000 0.000 0.500 (multiplicity 2)
Pd: 0.000 0.500 0.106 (multiplicity 8)
Pd: 0.000 0.500 0.250 (multiplicity 4)

Properties
The calculation puts the energy above the most stable polymorph in this dataset at 0 meV/atom. The formation energy comes out at -0.617 eV per atom.



(2)
Below is crystalline SmGe2Pd3 at its relaxed geometry, with properties calculated at the PBE-GGA level.

Lattice parameters (Å, degrees): 16.796 4.085 10.073 90.00 108.45 90.00
Space group C2/m (No. 12)
One atom of each set of equivalent atoms:
Sm: 0.000 0.000 0.000 (multiplicity 2)
Sm: 0.154 0.000 0.696 (multiplicity 4)
Ge: 0.038 0.500 0.782 (multiplicity 4)
Ge: 0.137 0.500 0.454 (multiplicity 4)
Ge: 0.198 0.000 0.131 (multiplicity 4)
Pd: 0.000 0.500 0.500 (multiplicity 2)
Pd: 0.041 0.000 0.333 (multiplicity 4)
Pd: 0.122 0.500 0.198 (multiplicity 4)
Pd: 0.180 0.500 0.964 (multiplicity 4)
Pd: 0.218 0.000 0.392 (multiplicity 4)

Properties
The formation energy comes out at -0.794 eV per atom.



(3)
Below is crystalline Sm5Ge5Pd2 at its relaxed geometry, with properties calculated at the PBE-GGA level.

Lattice parameters (Å, degrees): 15.415 4.342 11.051 90.00 130.78 90.00
Space group C2/m (No. 12)
One atom of each set of equivalent atoms:
Sm: 0.000 0.000 0.000 (multiplicity 2)
Sm: 0.113 0.000 0.420 (multiplicity 4)
Sm: 0.195 0.000 0.822 (multiplicity 4)
Ge: 0.000 0.500 0.500 (multiplicity 2)
Ge: 0.061 0.500 0.838 (multiplicity 4)
Ge: 0.245 0.500 0.687 (multiplicity 4)
Pd: 0.141 0.500 0.252 (multiplicity 4)

Properties
The formation energy comes out at -0.826 eV per atom.



(4)
Below is crystalline SmGe2Pd at its relaxed geometry, with properties calculated at the PBE-GGA level.

Lattice parameters (Å, degrees): 13.812 4.308 10.910 90.00 90.00 90.00
Space group Pnma (No. 62)
One atom of each set of equivalent atoms:
Sm: 0.044 0.250 0.244 (multiplicity 4)
Sm: 0.206 0.750 0.520 (multiplicity 4)
Ge: 0.043 0.250 0.529 (multiplicity 4)
Ge: 0.116 0.250 0.740 (multiplicity 4)
Ge: 0.129 0.750 0.026 (multiplicity 4)
Ge: 0.199 0.750 0.239 (multiplicity 4)
Pd: 0.058 0.250 0.955 (multiplicity 4)
Pd: 0.210 0.750 0.806 (multiplicity 4)

Properties
The formation energy comes out at -0.738 eV per atom.



(5)
Below is crystalline SmGePd2 at its relaxed geometry, with properties calculated at the PBE-GGA level.

Lattice parameters (Å, degrees): 4.4350 4.4350 13.8994 90.00 90.00 120.00
Space group R-3m (No. 166, hexagonal axes)
One atom of each set of equivalent atoms:
Sm: 0.0000 0.0000 0.0000 (multiplicity 3)
Ge: 0.0000 0.0000 0.5000 (multiplicity 3)
Pd: 0.0000 0.0000 0.2140 (multiplicity 6)

Properties
The formation energy comes out at -0.753 eV per atom.



(6)
Below is crystalline Sm3Ge6Pd20 at its relaxed geometry, with properties calculated at the PBE-GGA level.

Lattice parameters (Å, degrees): 12.555 12.555 12.555 90.00 90.00 90.00
Space group Fm-3m (No. 225)
One atom of each set of equivalent atoms:
Sm: 0.000 0.000 0.000 (multiplicity 4)
Sm: 0.250 0.250 0.250 (multiplicity 8)
Ge: 0.000 0.000 0.268 (multiplicity 24)
Pd: 0.000 0.174 0.174 (multiplicity 48)
Pd: 0.118 0.118 0.382 (multiplicity 32)

Properties
The formation energy comes out at -0.663 eV per atom.



(7)
Below is crystalline SmGe2Pd8 at its relaxed geometry, with properties calculated at the PBE-GGA level.

Lattice parameters (Å, degrees): 7.604 11.262 4.598 90.00 106.71 90.00
Space group C2/m (No. 12)
One atom of each set of equivalent atoms:
Sm: 0.000 0.000 0.000 (multiplicity 2)
Ge: 0.000 0.319 0.500 (multiplicity 4)
Pd: 0.000 0.249 0.000 (multiplicity 4)
Pd: 0.107 0.500 0.813 (multiplicity 4)
Pd: 0.196 0.128 0.593 (multiplicity 8)

Properties
The formation energy comes out at -0.519 eV per atom.



(8)
Below is crystalline SmGePd6 at its relaxed geometry, with properties calculated at the PBE-GGA level.

Lattice parameters (Å, degrees): 5.5534 5.5534 18.5533 90.00 90.00 120.00
Space group R-3m (No. 166, hexagonal axes)
One atom of each set of equivalent atoms:
Sm: 0.0000 0.0000 0.0000 (multiplicity 3)
Ge: 0.0000 0.0000 0.5000 (multiplicity 3)
Pd: 0.0105 0.5053 0.9275 (multiplicity 18)

Properties
The formation energy comes out at -0.310 eV per atom.



(9)
Below is crystalline Sm2GePd6 at its relaxed geometry, with properties calculated at the PBE-GGA level.

Lattice parameters (Å, degrees): 9.873 5.749 6.104 90.00 103.98 90.00
Space group C2/m (No. 12)
One atom of each set of equivalent atoms:
Sm: 0.144 0.000 0.337 (multiplicity 4)
Ge: 0.000 0.500 0.500 (multiplicity 2)
Pd: 0.127 0.500 0.201 (multiplicity 4)
Pd: 0.131 0.241 0.815 (multiplicity 8)

Properties
The calculation puts the energy above the most stable polymorph in this dataset at 0 meV/atom. The formation energy comes out at -0.778 eV per atom.



(10)
Below is crystalline Sm2SnGe4Pd3 at its relaxed geometry, with properties calculated at the PBE-GGA level.

Lattice parameters (Å, degrees): 4.308 4.308 10.865 90.00 90.00 90.00
Space group P-4m2 (No. 115)
One atom of each set of equivalent atoms:
Sm: 0.000 0.500 0.236 (multiplicity 2)
Sn: 0.000 0.000 0.500 (multiplicity 1)
Ge: 0.000 0.000 0.000 (multiplicity 1)
Ge: 0.000 0.500 0.654 (multiplicity 2)
Ge: 0.500 0.500 0.000 (multiplicity 1)
Pd: 0.000 0.500 0.877 (multiplicity 2)
Pd: 0.500 0.500 0.500 (multiplicity 1)

Properties
The formation energy comes out at -0.668 eV per atom.



(11)
Below is crystalline Sm2Sn3GePd4 at its relaxed geometry, with properties calculated at the PBE-GGA level.

Lattice parameters (Å, degrees): 4.513 4.513 10.644 90.00 90.00 90.00
Space group P-4m2 (No. 115)
One atom of each set of equivalent atoms:
Sm: 0.000 0.500 0.248 (multiplicity 2)
Sn: 0.000 0.000 0.000 (multiplicity 1)
Sn: 0.000 0.500 0.632 (multiplicity 2)
Ge: 0.500 0.500 0.000 (multiplicity 1)
Pd: 0.000 0.000 0.500 (multiplicity 1)
Pd: 0.000 0.500 0.875 (multiplicity 2)
Pd: 0.500 0.500 0.500 (multiplicity 1)

Properties
The formation energy comes out at -0.732 eV per atom.



(12)
Below is crystalline Sm2SnGe3Pd4 at its relaxed geometry, with properties calculated at the PBE-GGA level.

Lattice parameters (Å, degrees): 4.340 4.340 10.566 90.00 90.00 90.00
Space group P-4m2 (No. 115)
One atom of each set of equivalent atoms:
Sm: 0.000 0.500 0.236 (multiplicity 2)
Sn: 0.000 0.000 0.500 (multiplicity 1)
Ge: 0.000 0.500 0.876 (multiplicity 2)
Ge: 0.500 0.500 0.500 (multiplicity 1)
Pd: 0.000 0.000 0.000 (multiplicity 1)
Pd: 0.000 0.500 0.645 (multiplicity 2)
Pd: 0.500 0.500 0.000 (multiplicity 1)

Properties
The formation energy comes out at -0.786 eV per atom.



(13)
Below is crystalline SrSmGe2Pd5 at its relaxed geometry, with properties calculated at the PBE-GGA level.

Lattice parameters (Å, degrees): 4.360 4.360 9.135 90.00 90.00 90.00
Space group P4/mmm (No. 123)
One atom of each set of equivalent atoms:
Sr: 0.000 0.000 0.000 (multiplicity 1)
Sm: 0.000 0.000 0.500 (multiplicity 1)
Ge: 0.500 0.500 0.147 (multiplicity 2)
Pd: 0.000 0.500 0.280 (multiplicity 4)
Pd: 0.500 0.500 0.500 (multiplicity 1)

Properties
The formation energy comes out at -0.765 eV per atom.



(14)
Below is crystalline Sr2SmGe3Pd4 at its relaxed geometry, with properties calculated at the PBE-GGA level.

Lattice parameters (Å, degrees): 4.447 4.447 11.099 90.00 90.00 90.00
Space group P-4m2 (No. 115)
One atom of each set of equivalent atoms:
Sr: 0.000 0.500 0.226 (multiplicity 2)
Sm: 0.000 0.000 0.500 (multiplicity 1)
Ge: 0.000 0.500 0.886 (multiplicity 2)
Ge: 0.500 0.500 0.500 (multiplicity 1)
Pd: 0.000 0.000 0.000 (multiplicity 1)
Pd: 0.000 0.500 0.661 (multiplicity 2)
Pd: 0.500 0.500 0.000 (multiplicity 1)

Properties
The formation energy comes out at -0.740 eV per atom.



(15)
Below is crystalline SrSmGePd at its relaxed geometry, with properties calculated at the PBE-GGA level.

Lattice parameters (Å, degrees): 7.372 7.372 7.372 90.00 90.00 90.00
Space group F-43m (No. 216)
One atom of each set of equivalent atoms:
Sr: 0.000 0.000 0.000 (multiplicity 4)
Sm: 0.000 0.000 0.500 (multiplicity 4)
Ge: 0.250 0.250 0.250 (multiplicity 4)
Pd: 0.250 0.250 0.750 (multiplicity 4)

Properties
The formation energy comes out at -0.596 eV per atom.



(16)
Below is crystalline TbSmGe2Pd5 at its relaxed geometry, with properties calculated at the PBE-GGA level.

Lattice parameters (Å, degrees): 4.257 4.257 9.137 90.00 90.00 90.00
Space group P4/mmm (No. 123)
One atom of each set of equivalent atoms:
Tb: 0.000 0.000 0.000 (multiplicity 1)
Sm: 0.000 0.000 0.500 (multiplicity 1)
Ge: 0.500 0.500 0.134 (multiplicity 2)
Pd: 0.000 0.500 0.273 (multiplicity 4)
Pd: 0.500 0.500 0.500 (multiplicity 1)

Properties
The formation energy comes out at -0.820 eV per atom.



(17)
Below is crystalline TbSmGePd at its relaxed geometry, with properties calculated at the PBE-GGA level.

Lattice parameters (Å, degrees): 4.322 4.007 11.000 90.00 90.00 90.00
Space group Amm2 (No. 38)
One atom of each set of equivalent atoms:
Tb: 0.000 0.000 0.000 (multiplicity 2)
Sm: 0.500 0.000 0.277 (multiplicity 2)
Ge: 0.000 0.000 0.718 (multiplicity 2)
Pd: 0.500 0.000 0.557 (multiplicity 2)

Properties
The calculation puts the energy above the most stable polymorph in this dataset at 0 meV/atom. The formation energy comes out at -0.864 eV per atom.



(18)
Below is crystalline TbSmGePd at its relaxed geometry, with properties calculated at the PBE-GGA level.

Lattice parameters (Å, degrees): 7.182 7.182 7.182 90.00 90.00 90.00
Space group F-43m (No. 216)
One atom of each set of equivalent atoms:
Tb: 0.000 0.000 0.000 (multiplicity 4)
Sm: 0.000 0.000 0.500 (multiplicity 4)
Ge: 0.250 0.250 0.750 (multiplicity 4)
Pd: 0.250 0.250 0.250 (multiplicity 4)

Properties
The calculation puts the energy above the most stable polymorph in this dataset at 90 meV/atom. The formation energy comes out at -0.774 eV per atom.



(19)
Below is crystalline Sm8Ge3Te4Pd at its relaxed geometry, with properties calculated at the PBE-GGA level.

Lattice parameters (Å, degrees): 8.6391 8.6391 21.6985 90.00 90.00 120.00
Space group R-3m (No. 166, hexagonal axes)
One atom of each set of equivalent atoms:
Sm: 0.0000 0.0000 0.2417 (multiplicity 6)
Sm: 0.0037 0.5018 0.7590 (multiplicity 18)
Ge: 0.0000 0.5000 0.5000 (multiplicity 9)
Te: 0.0000 0.0000 0.0000 (multiplicity 3)
Te: 0.0000 0.5000 0.0000 (multiplicity 9)
Pd: 0.0000 0.0000 0.5000 (multiplicity 3)

Properties
The value obtained for the uncorrected energy is -87.9 eV per formula unit.



(20)
Below is crystalline SmThGePd at its relaxed geometry, with properties calculated at the PBE-GGA level.

Lattice parameters (Å, degrees): 7.288 7.288 7.288 90.00 90.00 90.00
Space group F-43m (No. 216)
One atom of each set of equivalent atoms:
Sm: 0.000 0.000 0.000 (multiplicity 4)
Th: 0.000 0.000 0.500 (multiplicity 4)
Ge: 0.250 0.250 0.250 (multiplicity 4)
Pd: 0.250 0.250 0.750 (multiplicity 4)

Properties
The formation energy comes out at -0.624 eV per atom.